Below is Mn2ReNiO after structural relaxation, with properties calculated at the PBE+U level.

abc: 5.032 5.032 4.347
angles: 90.00 90.00 90.00
Fractional positions:
Mn  0.000  0.500  0.000
Mn  0.500  0.000  0.000
Re  0.000  0.000  0.000
Ni  0.000  0.000  0.500
O  0.500  0.500  0.500

E_tot = -5.106 eV/atom
Density of states at the Fermi level = 3.7 states/eV per cell
Size of the total moment = 1.440 μB per atom
Mass density = 5.59 g cm⁻³